Entry 1:
VASP calculation (PBE) on a relaxed Pm4ZnI5 crystal.

Structure (POSCAR):
```
Pm4ZnI5
1.0
9.745 -2.097 0.000
9.745 2.097 0.000
-1.987 0.000 8.977
Pm Zn I
4 1 5
direct
0.000 0.000 0.222
0.000 0.000 0.778
0.350 0.350 0.925
0.650 0.650 0.075
0.500 0.500 0.000
0.167 0.167 0.340
0.173 0.173 0.824
0.500 0.500 0.500
0.827 0.827 0.176
0.833 0.833 0.660
```

Summary:
* energy relative to the elements, uncorrected: -1.06 eV/atom
* magnetization: 0.00 μB/cell
* space-group type: C2/m (12)

***

Entry 2:
VASP calculation (PBE) on a relaxed Pm2ZnI crystal.

Structure (POSCAR):
```
Pm2ZnI
1.0
3.675 0.000 0.000
0.000 3.675 0.000
0.000 0.000 8.323
Pm Zn I
2 1 1
direct
0.000 0.000 0.217
0.000 0.000 0.783
0.500 0.500 0.000
0.500 0.500 0.500
```

Summary:
* energy relative to the elements, uncorrected: -0.50 eV/atom
* magnetization: 0.35 μB/cell
* space-group type: P4/mmm (123)
* distance to the lowest polymorph of the same formula: 60 meV per atom

***

Entry 3:
VASP calculation (PBE) on a relaxed PmZn2I8 crystal.

Structure (POSCAR):
```
PmZn2I8
1.0
5.908 -6.658 0.000
5.908 6.658 0.000
-0.499 0.000 6.920
Pm Zn I
1 2 8
direct
0.000 0.000 0.000
0.238 0.238 0.660
0.762 0.762 0.340
0.033 0.711 0.227
0.219 0.219 0.277
0.289 0.967 0.773
0.460 0.460 0.743
0.540 0.540 0.257
0.711 0.033 0.227
0.781 0.781 0.723
0.967 0.289 0.773
```

Summary:
* energy relative to the elements, uncorrected: -0.77 eV/atom
* magnetization: 0.00 μB/cell
* space-group type: C2/m (12)

***

Entry 4:
VASP calculation (PBE) on a relaxed Pm2ZnI crystal.

Structure (POSCAR):
```
Pm2ZnI
1.0
4.030 0.000 0.000
-2.015 3.490 0.000
0.000 0.000 25.356
Pm Zn I
6 3 3
direct
0.000 0.000 0.000
0.000 0.000 0.185
0.333 0.667 0.667
0.333 0.667 0.851
0.667 0.333 0.333
0.667 0.333 0.518
0.000 0.000 0.593
0.333 0.667 0.260
0.667 0.333 0.926
0.000 0.000 0.425
0.333 0.667 0.092
0.667 0.333 0.758
```

Summary:
* energy relative to the elements, uncorrected: -0.56 eV/atom
* magnetization: 0.00 μB/cell
* space-group type: R3m (160)
* distance to the lowest polymorph of the same formula: 0 meV per atom

***

Entry 5:
VASP calculation (PBE) on a relaxed PmZrI2 crystal.

Structure (POSCAR):
```
PmZrI2
1.0
3.725 0.000 0.000
-1.863 3.226 0.000
0.000 0.000 31.463
Pm Zr I
3 3 6
direct
0.000 0.000 0.000
0.333 0.667 0.667
0.667 0.333 0.333
0.000 0.000 0.500
0.333 0.667 0.167
0.667 0.333 0.833
0.000 0.000 0.408
0.000 0.000 0.592
0.333 0.667 0.074
0.333 0.667 0.259
0.667 0.333 0.741
0.667 0.333 0.926
```

Summary:
* energy relative to the elements, uncorrected: -0.34 eV/atom
* magnetization: 0.04 μB/cell
* space-group type: R-3m (166)

***

Entry 6:
VASP calculation (PBE) on a relaxed Pm2ZrI crystal.

Structure (POSCAR):
```
Pm2ZrI
1.0
3.616 0.000 0.000
0.000 3.616 0.000
0.000 0.000 9.350
Pm Zr I
2 1 1
direct
0.000 0.000 0.240
0.000 0.000 0.760
0.500 0.500 0.000
0.500 0.500 0.500
```

Summary:
* energy relative to the elements, uncorrected: -0.27 eV/atom
* magnetization: 0.00 μB/cell
* space-group type: P4/mmm (123)

***

Entry 7:
VASP calculation (PBE) on a relaxed Pr3I crystal.

Structure (POSCAR):
```
Pr3I
1.0
7.131 0.000 0.000
-3.565 6.175 0.000
0.000 0.000 5.883
Pr I
6 2
direct
0.167 0.333 0.250
0.167 0.833 0.250
0.333 0.167 0.750
0.667 0.833 0.250
0.833 0.167 0.750
0.833 0.667 0.750
0.333 0.667 0.750
0.667 0.333 0.250
```

Summary:
* energy relative to the elements, uncorrected: -0.15 eV/atom
* magnetization: 0.00 μB/cell
* space-group type: P6_3/mmc (194)
* distance to the lowest polymorph of the same formula: 173 meV per atom

***

Entry 8:
VASP calculation (PBE) on a relaxed Pr2I3 crystal.

Structure (POSCAR):
```
Pr2I3
1.0
9.793 -2.144 0.000
9.793 2.144 0.000
-6.805 0.000 10.385
Pr I
4 6
direct
0.073 0.073 0.457
0.365 0.365 0.218
0.635 0.635 0.782
0.927 0.927 0.543
0.163 0.163 0.004
0.280 0.280 0.377
0.463 0.463 0.761
0.537 0.537 0.239
0.720 0.720 0.623
0.837 0.837 0.996
```

Summary:
* energy relative to the elements, uncorrected: -1.14 eV/atom
* magnetization: 0.00 μB/cell
* space-group type: C2/m (12)
* distance to the lowest polymorph of the same formula: 0 meV per atom

***

Entry 9:
VASP calculation (PBE) on a relaxed Pr3I crystal.

Structure (POSCAR):
```
Pr3I
1.0
3.894 0.000 0.000
0.000 10.349 0.000
0.000 0.000 6.817
Pr I
6 2
direct
0.000 0.000 0.000
0.000 0.209 0.619
0.000 0.791 0.619
0.500 0.291 0.119
0.500 0.500 0.500
0.500 0.709 0.119
0.000 0.500 0.876
0.500 0.000 0.376
```

Summary:
* energy relative to the elements, uncorrected: -0.33 eV/atom
* magnetization: 0.00 μB/cell
* space-group type: Imm2 (44)
* distance to the lowest polymorph of the same formula: 0 meV per atom

***

Entry 10:
VASP calculation (PBE) on a relaxed Pr2I3 crystal.

Structure (POSCAR):
```
Pr2I3
1.0
3.689 2.130 8.299
-3.689 2.130 8.299
0.000 -4.259 8.299
Pr I
4 6
direct
0.171 0.171 0.171
0.329 0.329 0.329
0.671 0.671 0.671
0.829 0.829 0.829
0.094 0.750 0.406
0.250 0.594 0.906
0.406 0.094 0.750
0.594 0.906 0.250
0.750 0.406 0.094
0.906 0.250 0.594
```

Summary:
* energy relative to the elements, uncorrected: -1.02 eV/atom
* magnetization: 2.64 μB/cell
* space-group type: R-3c (167)
* distance to the lowest polymorph of the same formula: 116 meV per atom

***

Entry 11:
VASP calculation (PBE) on a relaxed PrPtI crystal.

Structure (POSCAR):
```
PrPtI
1.0
7.676 0.000 0.000
0.000 4.431 0.000
-0.313 0.000 12.210
Pr Pt I
4 4 4
direct
0.007 0.000 0.160
0.493 0.500 0.840
0.507 0.500 0.160
0.993 0.000 0.840
0.165 0.500 0.968
0.335 0.000 0.032
0.665 0.000 0.968
0.835 0.500 0.032
0.180 0.500 0.334
0.320 0.000 0.666
0.680 0.000 0.334
0.820 0.500 0.666
```

Summary:
* energy relative to the elements, uncorrected: -1.22 eV/atom
* magnetization: 0.00 μB/cell
* space-group type: C2/m (12)
* distance to the lowest polymorph of the same formula: 0 meV per atom

***

Entry 12:
VASP calculation (PBE) on a relaxed Pr2PtI crystal.

Structure (POSCAR):
```
Pr2PtI
1.0
4.302 0.000 0.000
-2.151 3.725 0.000
0.000 0.000 24.627
Pr Pt I
6 3 3
direct
0.000 0.000 0.000
0.000 0.000 0.209
0.333 0.667 0.667
0.333 0.667 0.876
0.667 0.333 0.333
0.667 0.333 0.543
0.000 0.000 0.605
0.333 0.667 0.271
0.667 0.333 0.938
0.000 0.000 0.773
0.333 0.667 0.440
0.667 0.333 0.107
```

Summary:
* energy relative to the elements, uncorrected: -1.10 eV/atom
* magnetization: 0.00 μB/cell
* space-group type: R3m (160)
* distance to the lowest polymorph of the same formula: 11 meV per atom

***

| no. | electronic total energy (eV per atom) |
| --- | --- |
| 1 | -3.859 |
| 2 | -3.582 |
| 3 | -2.557 |
| 4 | -3.642 |
| 5 | -4.441 |
| 6 | -5.174 |
| 7 | -4.125 |
| 8 | -3.980 |
| 9 | -4.298 |
| 10 | -3.865 |
| 11 | -5.341 |
| 12 | -5.391 |